# 1
VASP calculation (PBE) on an optimized crystal structure of Sb4Ir.

## Properties
symmetry: I4/mmm (139)
mass density: 8.22 g/cm³
E_form (uncorrected): 0.626 eV/atom

abc: 9.460 9.460 9.460
angles: 156.25 156.25 33.83
Positions (direct):
Sb 0.077 0.077 0.000
Sb 0.250 0.750 0.500
Sb 0.750 0.250 0.500
Sb 0.923 0.923 0.000
Ir 0.500 0.500 0.000

# 2
VASP calculation (PBE) on an optimized crystal structure of Sb2Ir.

## Properties
symmetry: Cm (8)
mass density: 10.09 g/cm³
E_form (uncorrected): -0.011 eV/atom

abc: 6.204 6.204 8.640
angles: 129.81 129.81 35.66
Positions (direct):
Sb 0.000 0.000 0.000
Sb 0.009 0.009 0.415
Sb 0.321 0.321 0.503
Sb 0.690 0.690 0.868
Ir 0.283 0.283 0.147
Ir 0.599 0.599 0.291